A relaxed structure of KBeVF6, computed with PBE with a Hubbard U.

abc: 5.0407 5.0407 11.5540
angles: 90.00 90.00 120.00
Each line ends with the local moment (μB).
Atoms (fractional coordinates):
V (0.6667, 0.3333, 0.7500)  1.94
F (0.0280, 0.3925, 0.6612)  -0.01
F (0.6355, 0.0280, 0.3388)  -0.01
F (0.9720, 0.6075, 0.3388)  -0.01
F (0.6355, 0.6075, 0.1612)  -0.01
Be (0.6667, 0.3333, 0.2500)  0.00
V (0.3333, 0.6667, 0.2500)  1.94
F (0.3645, 0.9720, 0.6612)  -0.01
F (0.6075, 0.6355, 0.6612)  -0.01
F (0.0280, 0.6355, 0.8388)  -0.01
K (0.0000, 0.0000, 0.5000)  0.00
Be (0.3333, 0.6667, 0.7500)  0.00
F (0.9720, 0.3645, 0.1612)  -0.01
K (0.0000, 0.0000, 0.0000)  0.00
F (0.6075, 0.9720, 0.8388)  -0.01
F (0.3925, 0.3645, 0.3388)  -0.01
F (0.3645, 0.3925, 0.8388)  -0.01
F (0.3925, 0.0280, 0.1612)  -0.01

N(E_F), states/eV/atom: 0.766
Uncorrected energy, eV/atom: -5.48

=====

A relaxed structure of K2BeV3F12, computed with PBE with a Hubbard U.

abc: 7.1251 7.1251 7.1251
angles: 61.60 61.60 61.60
Each line ends with the local moment (μB).
Atoms (fractional coordinates):
F (0.3345, 0.9380, 0.3345)  -0.01
K (0.6411, 0.6411, 0.6411)  0.00
K (0.3589, 0.3589, 0.3589)  0.00
F (0.3345, 0.3345, 0.9380)  -0.01
F (0.9414, 0.2901, 0.9414)  0.00
Be (0.0000, 0.0000, 0.0000)  0.00
F (0.9380, 0.3345, 0.3345)  -0.01
F (0.6655, 0.6655, 0.0620)  -0.01
F (0.0620, 0.6655, 0.6655)  -0.01
V (0.5000, 0.0000, 0.0000)  2.21
F (0.0586, 0.7099, 0.0586)  0.00
F (0.9414, 0.9414, 0.2901)  0.00
V (0.0000, 0.0000, 0.5000)  2.21
F (0.0586, 0.0586, 0.7099)  0.00
F (0.6655, 0.0620, 0.6655)  -0.01
F (0.2901, 0.9414, 0.9414)  0.00
F (0.7099, 0.0586, 0.0586)  0.00
V (0.0000, 0.5000, 0.0000)  2.21

N(E_F), states/eV/atom: 0.360
Uncorrected energy, eV/atom: -5.68

=====

Repeat the second record exactly.
A relaxed structure of K2BeV3F12, computed with PBE with a Hubbard U.

abc: 7.1251 7.1251 7.1251
angles: 61.60 61.60 61.60
Each line ends with the local moment (μB).
Atoms (fractional coordinates):
F (0.3345, 0.9380, 0.3345)  -0.01
K (0.6411, 0.6411, 0.6411)  0.00
K (0.3589, 0.3589, 0.3589)  0.00
F (0.3345, 0.3345, 0.9380)  -0.01
F (0.9414, 0.2901, 0.9414)  0.00
Be (0.0000, 0.0000, 0.0000)  0.00
F (0.9380, 0.3345, 0.3345)  -0.01
F (0.6655, 0.6655, 0.0620)  -0.01
F (0.0620, 0.6655, 0.6655)  -0.01
V (0.5000, 0.0000, 0.0000)  2.21
F (0.0586, 0.7099, 0.0586)  0.00
F (0.9414, 0.9414, 0.2901)  0.00
V (0.0000, 0.0000, 0.5000)  2.21
F (0.0586, 0.0586, 0.7099)  0.00
F (0.6655, 0.0620, 0.6655)  -0.01
F (0.2901, 0.9414, 0.9414)  0.00
F (0.7099, 0.0586, 0.0586)  0.00
V (0.0000, 0.5000, 0.0000)  2.21

N(E_F), states/eV/atom: 0.360
Uncorrected energy, eV/atom: -5.68

=====

Among the records above, which one has the lowest uncorrected energy?
K2BeV3F12

=====

Which value of uncorrected energy does entry 2 give?
-5.68 eV/atom

=====

Copy entry 2 word for word.
A relaxed structure of K2BeV3F12, computed with PBE with a Hubbard U.

abc: 7.1251 7.1251 7.1251
angles: 61.60 61.60 61.60
Each line ends with the local moment (μB).
Atoms (fractional coordinates):
F (0.3345, 0.9380, 0.3345)  -0.01
K (0.6411, 0.6411, 0.6411)  0.00
K (0.3589, 0.3589, 0.3589)  0.00
F (0.3345, 0.3345, 0.9380)  -0.01
F (0.9414, 0.2901, 0.9414)  0.00
Be (0.0000, 0.0000, 0.0000)  0.00
F (0.9380, 0.3345, 0.3345)  -0.01
F (0.6655, 0.6655, 0.0620)  -0.01
F (0.0620, 0.6655, 0.6655)  -0.01
V (0.5000, 0.0000, 0.0000)  2.21
F (0.0586, 0.7099, 0.0586)  0.00
F (0.9414, 0.9414, 0.2901)  0.00
V (0.0000, 0.0000, 0.5000)  2.21
F (0.0586, 0.0586, 0.7099)  0.00
F (0.6655, 0.0620, 0.6655)  -0.01
F (0.2901, 0.9414, 0.9414)  0.00
F (0.7099, 0.0586, 0.0586)  0.00
V (0.0000, 0.5000, 0.0000)  2.21

N(E_F), states/eV/atom: 0.360
Uncorrected energy, eV/atom: -5.68